Compound: LaFeGeF2
Source: Alexandria via LeMat-Bulk
Functional: PBE+U
Structure: optimized geometry

Values from the calculation:
- Mass density: 5216 kg/m3
- N(E_F): 0.569 states/eV per atom
- Electronic total energy: -4.77 eV/atom

abc: 4.4244 4.4244 4.9665
angles: 90.00 90.00 90.00
With the nearest neighbours (Å) after each atom.
Space group P4/mmm (No. 123)
Symmetry-distinct sites (fractional):
1 La 0.0000 0.0000 0.0000 [1 per cell]  4 Fe 3.13, 8 F 3.33
2 Fe 0.5000 0.5000 0.0000 [1 per cell]  2 Ge 2.48
3 Ge 0.5000 0.5000 0.5000 [1 per cell]  4 F 2.21
4 F 0.0000 0.5000 0.5000 [2 per cell]  2 Ge 2.21